# RbHfHg2

RbHfHg2 after structural relaxation (PBE-GGA, Alexandria).

Lattice parameters (Å, degrees): 8.442 8.442 7.117 53.62 53.62 90.00
Atoms (fractional coordinates):
Hg 0.061 0.625 0.250
Hg 0.689 0.125 0.250
Hg 0.375 0.311 0.750
Hg 0.875 0.939 0.750
Hf 0.000 0.000 0.000
Hf 0.750 0.250 0.500
Rb 0.500 0.500 0.000
Rb 0.250 0.750 0.500

Summary:
The energy above the lowest structure with this stoichiometry comes out at 0.025 eV per atom. Its energy of formation is 515 meV/atom. The symmetry is I-42d, No. 122. As for the magnetization: 1.89 Bohr magnetons per cell.



# RbHf2Hg

RbHf2Hg after structural relaxation (PBE-GGA, Alexandria).

Lattice parameters (Å, degrees): 4.391 4.391 12.044 79.50 79.50 90.00
Atoms (fractional coordinates):
Hg 0.000 0.000 0.000
Hg 0.750 0.250 0.500
Rb 0.500 0.500 0.000
Rb 0.250 0.750 0.500
Hf 0.100 0.625 0.250
Hf 0.375 0.350 0.750
Hf 0.650 0.125 0.250
Hf 0.875 0.900 0.750

Summary:
Its energy of formation is 967 meV/atom. The symmetry is I-42d, No. 122. As for the magnetization: 0.00 Bohr magnetons per cell.



# RbHfHg3

RbHfHg3 after structural relaxation (PBE-GGA, Alexandria).

Lattice parameters (Å, degrees): 5.669 5.669 5.669 90.00 90.00 90.00
Atoms (fractional coordinates):
Hg 0.500 0.000 0.000
Hg 0.000 0.500 0.000
Hg 0.000 0.000 0.500
Rb 0.500 0.500 0.500
Hf 0.000 0.000 0.000

Summary:
The energy above the lowest structure with this stoichiometry comes out at 0.000 eV per atom. Its energy of formation is 198 meV/atom. The symmetry is Pm-3m, No. 221. As for the magnetization: 0.81 Bohr magnetons per cell.



# RbHfHg3

RbHfHg3 after structural relaxation (PBE-GGA, Alexandria).

Lattice parameters (Å, degrees): 6.153 6.153 6.153 90.00 90.00 90.00
Atoms (fractional coordinates):
Rb 0.000 0.000 0.000
Hf 0.500 0.500 0.500
Hg 0.000 0.000 0.500
Hg 0.500 0.000 0.000
Hg 0.000 0.500 0.000

Summary:
The energy above the lowest structure with this stoichiometry comes out at 1.007 eV per atom. Its energy of formation is 1205 meV/atom. The symmetry is Pm-3m, No. 221. As for the magnetization: 2.68 Bohr magnetons per cell.



# RbHfSiHg2

RbHfSiHg2 after structural relaxation (PBE-GGA, Alexandria).

Lattice parameters (Å, degrees): 5.523 6.763 5.523 90.00 90.00 90.00
Atoms (fractional coordinates):
Hg 0.500 0.000 0.000
Hg 0.000 0.000 0.500
Si 0.500 0.500 0.500
Hf 0.000 0.000 0.000
Rb 0.000 0.500 0.000

Summary:
The value obtained for the uncorrected formation energy is 1.2100 eV per atom. The symmetry is P4/mmm, No. 123. As for the magnetization: 0.25 Bohr magnetons per cell.



# RbHf2SnHg

RbHf2SnHg after structural relaxation (PBE-GGA, Alexandria).

Lattice parameters (Å, degrees): 5.433 5.790 5.433 90.00 90.00 90.00
Atoms (fractional coordinates):
Rb 0.500 0.500 0.500
Hg 0.000 0.000 0.000
Hf 0.500 0.000 0.000
Hf 0.000 0.000 0.500
Sn 0.000 0.500 0.000

Summary:
Its energy of formation is 1114 meV/atom. The symmetry is P4/mmm, No. 123. As for the magnetization: 0.99 Bohr magnetons per cell.



# RbHf2HgTe

RbHf2HgTe after structural relaxation (PBE-GGA, Alexandria).

Lattice parameters (Å, degrees): 5.396 7.015 5.396 90.00 90.00 90.00
Atoms (fractional coordinates):
Hg 0.000 0.500 0.000
Te 0.000 0.000 0.000
Hf 0.000 0.000 0.500
Hf 0.500 0.000 0.000
Rb 0.500 0.500 0.500

Summary:
The value obtained for the uncorrected formation energy is 0.8347 eV per atom. The symmetry is P4/mmm, No. 123. As for the magnetization: 2.94 Bohr magnetons per cell.



# Hf3ReHg

Hf3ReHg after structural relaxation (PBE-GGA, Alexandria).

Lattice parameters (Å, degrees): 5.039 5.039 5.039 90.00 90.00 90.00
Atoms (fractional coordinates):
Hf 0.000 0.000 0.500
Hf 0.500 0.000 0.000
Hf 0.000 0.500 0.000
Re 0.000 0.000 0.000
Hg 0.500 0.500 0.500

Summary:
The energy above the lowest structure with this stoichiometry comes out at 0.000 eV per atom. Its energy of formation is 594 meV/atom. The symmetry is Pm-3m, No. 221. As for the magnetization: 0.00 Bohr magnetons per cell.



# Hf2ReHg

Hf2ReHg after structural relaxation (PBE-GGA, Alexandria).

Lattice parameters (Å, degrees): 4.209 4.209 10.070 77.94 77.94 90.00
Atoms (fractional coordinates):
Re 0.250 0.750 0.500
Re 0.500 0.500 0.000
Hf 0.875 0.862 0.750
Hf 0.138 0.625 0.250
Hf 0.375 0.388 0.750
Hf 0.612 0.125 0.250
Hg 0.750 0.250 0.500
Hg 0.000 0.000 0.000

Summary:
Its energy of formation is 785 meV/atom. The symmetry is I-42d, No. 122. As for the magnetization: 1.28 Bohr magnetons per cell.



# HfReHg3

HfReHg3 after structural relaxation (PBE-GGA, Alexandria).

Lattice parameters (Å, degrees): 5.132 5.132 5.132 90.00 90.00 90.00
Atoms (fractional coordinates):
Hg 0.000 0.500 0.000
Hg 0.000 0.000 0.500
Hg 0.500 0.000 0.000
Re 0.000 0.000 0.000
Hf 0.500 0.500 0.500

Summary:
The energy above the lowest structure with this stoichiometry comes out at 0.000 eV per atom. Its energy of formation is 1418 meV/atom. The symmetry is Pm-3m, No. 221. As for the magnetization: 0.97 Bohr magnetons per cell.



# Hf2ReHg

Hf2ReHg after structural relaxation (PBE-GGA, Alexandria).

Lattice parameters (Å, degrees): 6.407 6.407 6.407 54.59 133.16 153.56
Atoms (fractional coordinates):
Hf 0.000 0.227 0.227
Hf 0.000 0.773 0.773
Hg 0.000 0.500 0.500
Re 0.000 0.000 0.000

Summary:
Its energy of formation is 764 meV/atom. The symmetry is Immm, No. 71. As for the magnetization: 0.00 Bohr magnetons per cell.



# Hf2ReHg

Hf2ReHg after structural relaxation (PBE-GGA, Alexandria).

Lattice parameters (Å, degrees): 3.313 3.313 7.155 90.00 90.00 90.00
Atoms (fractional coordinates):
Hg 0.500 0.500 0.500
Hf 0.000 0.000 0.219
Hf 0.000 0.000 0.781
Re 0.500 0.500 0.000

Summary:
Its energy of formation is -282 meV/atom. The symmetry is P4/mmm, No. 123. As for the magnetization: 0.00 Bohr magnetons per cell.